A relaxed structure of RbSn3Pb2, computed with PBE.

The total energy is -3.44 eV/atom.

POSCAR file:
```
RbSn3Pb2
1.0
6.4405 0.0000 0.0000
0.0000 8.5394 0.0000
-0.0111 0.0000 8.0534
Rb Sn Pb
2 6 4
direct
0.1397 0.2500 0.2480 Rb
0.8603 0.7500 0.7520 Rb
0.0072 0.7500 0.2524 Sn
0.3735 0.7500 0.0359 Sn
0.3768 0.7500 0.4659 Sn
0.6232 0.2500 0.5341 Sn
0.6265 0.2500 0.9641 Sn
0.9928 0.2500 0.7476 Sn
0.3538 0.0177 0.7505 Pb
0.3538 0.4823 0.7505 Pb
0.6462 0.5177 0.2495 Pb
0.6462 0.9823 0.2495 Pb
```



A relaxed structure of Rb2SnPb7, computed with PBE.

The total energy is -3.28 eV/atom.

POSCAR file:
```
Rb2SnPb7
1.0
5.2450 0.0000 0.0000
0.0000 5.2450 0.0000
0.0000 0.0000 13.9616
Rb Sn Pb
2 1 7
direct
0.0000 0.5000 0.2466 Rb
0.5000 0.0000 0.7534 Rb
0.5000 0.5000 0.0000 Sn
0.0000 0.0000 0.0000 Pb
0.0000 0.0000 0.5000 Pb
0.0000 0.5000 0.6350 Pb
0.0000 0.5000 0.8697 Pb
0.5000 0.0000 0.1303 Pb
0.5000 0.0000 0.3650 Pb
0.5000 0.5000 0.5000 Pb
```



A relaxed structure of RbSrSnPb2, computed with PBE.

The total energy is -2.17 eV/atom.

POSCAR file:
```
RbSrSnPb2
1.0
6.1267 0.0000 0.0000
0.0000 6.1267 0.0000
0.0000 0.0000 6.2704
Rb Sr Sn Pb
1 1 1 2
direct
0.0000 0.0000 0.0000 Rb
0.0000 0.0000 0.5000 Sr
0.5000 0.5000 0.0000 Sn
0.0000 0.5000 0.5000 Pb
0.5000 0.0000 0.5000 Pb
```



A relaxed structure of RbSn2Te6Pb3, computed with PBE.

The uncorrected formation energy is -0.3944 eV/atom.

POSCAR file:
```
RbSn2Te6Pb3
1.0
9.9599 -2.2836 0.0000
9.9599 2.2836 0.0000
-1.5529 0.0000 9.5663
Rb Sn Te Pb
1 2 6 3
direct
0.0000 0.0000 0.0000 Rb
0.3328 0.3328 0.6810 Sn
0.6672 0.6672 0.3190 Sn
0.1665 0.1665 0.5863 Te
0.1813 0.1813 0.1132 Te
0.4852 0.4852 0.7234 Te
0.5148 0.5148 0.2766 Te
0.8187 0.8187 0.8868 Te
0.8335 0.8335 0.4137 Te
0.0000 0.0000 0.5000 Pb
0.3407 0.3407 0.1929 Pb
0.6593 0.6593 0.8071 Pb
```



A relaxed structure of RbSnTe4Pb2, computed with PBE.

The uncorrected formation energy is -0.3902 eV/atom.

POSCAR file:
```
RbSnTe4Pb2
1.0
-4.5719 4.8095 6.6279
4.5719 -4.8095 6.6279
4.5719 4.8095 -6.6279
Rb Sn Te Pb
2 2 8 4
direct
0.5000 0.0000 0.0000 Rb
0.5000 0.5000 0.5000 Rb
0.0000 0.0000 0.0000 Sn
0.5000 0.0000 0.5000 Sn
0.2240 0.2461 0.9778 Te
0.2317 0.7539 0.4778 Te
0.2403 0.2337 0.4933 Te
0.2403 0.7470 0.0067 Te
0.7597 0.2530 0.9933 Te
0.7597 0.7663 0.5067 Te
0.7683 0.2461 0.5222 Te
0.7760 0.7539 0.0222 Te
0.0000 0.0000 0.5000 Pb
0.0000 0.5000 0.0000 Pb
0.0000 0.5000 0.5000 Pb
0.5000 0.5000 0.0000 Pb
```



A relaxed structure of Rb2SnTe4Pb, computed with PBE.

The uncorrected formation energy is -0.5323 eV/atom.

POSCAR file:
```
Rb2SnTe4Pb
1.0
0.0000 7.7734 13.6774
3.6275 0.0000 13.6774
3.6275 7.7734 0.0000
Rb Sn Te Pb
4 2 8 2
direct
0.0634 0.0634 0.6866 Rb
0.3134 0.3134 0.9366 Rb
0.6866 0.6866 0.0634 Rb
0.9366 0.9366 0.3134 Rb
0.3750 0.3750 0.3750 Sn
0.6250 0.6250 0.6250 Sn
0.0082 0.3573 0.4638 Te
0.3292 0.5362 0.6427 Te
0.3573 0.0082 0.6708 Te
0.4638 0.6708 0.0082 Te
0.5362 0.3292 0.9918 Te
0.6427 0.9918 0.3292 Te
0.6708 0.4638 0.3573 Te
0.9918 0.6427 0.5362 Te
0.1250 0.1250 0.1250 Pb
0.8750 0.8750 0.8750 Pb
```



A relaxed structure of Rb2Sn2Te4Pb, computed with PBE.

The uncorrected formation energy is -0.5825 eV/atom.

POSCAR file:
```
Rb2Sn2Te4Pb
1.0
9.4236 -2.2456 0.0000
9.4236 2.2456 0.0000
-4.3754 0.0000 8.3539
Rb Sn Te Pb
2 2 4 1
direct
0.1177 0.1177 0.0488 Rb
0.8823 0.8823 0.9512 Rb
0.3005 0.3005 0.4527 Sn
0.6995 0.6995 0.5473 Sn
0.1916 0.1916 0.7537 Te
0.4616 0.4616 0.7137 Te
0.5384 0.5384 0.2863 Te
0.8084 0.8084 0.2463 Te
0.0000 0.0000 0.5000 Pb
```



A relaxed structure of Rb2Tl3SnPb4, computed with PBE.

The total energy is -2.86 eV/atom.

POSCAR file:
```
Rb2Tl3SnPb4
1.0
5.0134 0.0000 0.0000
0.0000 5.0134 0.0000
0.0000 0.0000 14.8931
Rb Tl Sn Pb
2 3 1 4
direct
0.0000 0.5000 0.2468 Rb
0.5000 0.0000 0.7532 Rb
0.0000 0.0000 0.0000 Tl
0.0000 0.5000 0.6426 Tl
0.5000 0.0000 0.3574 Tl
0.5000 0.5000 0.0000 Sn
0.0000 0.0000 0.5000 Pb
0.0000 0.5000 0.8699 Pb
0.5000 0.0000 0.1301 Pb
0.5000 0.5000 0.5000 Pb
```



A relaxed structure of RbTlSn2Pb, computed with PBE.

The total energy is -3.11 eV/atom.

POSCAR file:
```
RbTlSn2Pb
1.0
-2.2748 2.6972 7.3671
2.2748 -2.6972 7.3671
2.2748 2.6972 -7.3671
Rb Tl Sn Pb
1 1 2 1
direct
0.0000 0.0000 0.0000 Rb
0.3883 0.3883 0.0000 Tl
0.6211 0.6211 0.0000 Sn
0.7570 0.2570 0.5000 Sn
0.2311 0.7311 0.5000 Pb
```



A relaxed structure of RbTlSnPb, computed with PBE.

The total energy is -2.78 eV/atom.

POSCAR file:
```
RbTlSnPb
1.0
0.0000 4.0603 4.0603
4.0603 0.0000 4.0603
4.0603 4.0603 0.0000
Rb Tl Sn Pb
1 1 1 1
direct
0.0000 0.0000 0.0000 Rb
0.7500 0.7500 0.7500 Tl
0.5000 0.5000 0.5000 Sn
0.2500 0.2500 0.2500 Pb
```



A relaxed structure of RbTl2SnPb, computed with PBE.

The total energy is -2.76 eV/atom.

POSCAR file:
```
RbTl2SnPb
1.0
-2.4002 2.4002 7.9083
2.4002 -2.4002 7.9083
2.4002 2.4002 -7.9083
Rb Tl Sn Pb
1 2 1 1
direct
0.0000 0.0000 0.0000 Rb
0.3885 0.3885 0.0000 Tl
0.6115 0.6115 0.0000 Tl
0.2500 0.7500 0.5000 Sn
0.7500 0.2500 0.5000 Pb
```



A relaxed structure of Rb2Tl3Sn4Pb, computed with PBE.

The total energy is -2.95 eV/atom.

POSCAR file:
```
Rb2Tl3Sn4Pb
1.0
5.1132 0.0000 0.0000
0.0000 5.1132 0.0000
0.0000 0.0000 13.7200
Rb Tl Sn Pb
2 3 4 1
direct
0.0000 0.5000 0.2485 Rb
0.5000 0.0000 0.7515 Rb
0.0000 0.5000 0.8627 Tl
0.5000 0.0000 0.1373 Tl
0.5000 0.5000 0.5000 Tl
0.0000 0.0000 0.0000 Sn
0.0000 0.5000 0.6313 Sn
0.5000 0.0000 0.3687 Sn
0.5000 0.5000 0.0000 Sn
0.0000 0.0000 0.5000 Pb
```



no.,mass density (g/cm³),total magnetization (μB/cell)
1,6.4,0.0
2,7.5,0.0
3,5.0,0.0
4,6.5,0.0
5,6.4,0.0
6,4.3,0.0
7,5.3,0.0
8,7.7,0.0
9,6.7,0.0
10,7.6,0.0
11,7.5,0.0
12,6.8,0.0